# Cs3Na2CdF8

Crystalline Cs3Na2CdF8 at its relaxed geometry (PBE, the Alexandria database).

a = 6.4483 Å, b = 6.4483 Å, c = 8.5334 Å
α = 90.00°, β = 90.00°, γ = 120.00°
Space group P-3m1 (No. 164)
Inequivalent atoms, fractional coordinates:
Cs 0.0000 0.0000 0.0000 [1 per cell]
Cs 0.3333 0.6667 0.6425 [2 per cell]
Na 0.3333 0.6667 0.2221 [2 per cell]
Cd 0.0000 0.0000 0.5000 [1 per cell]
F 0.1585 0.3169 0.3425 [6 per cell]
F 0.3333 0.6667 0.9719 [2 per cell]

## Properties
Uncorrected energy in eV per atom: -3.900
Crystal system: trigonal
Fermi-level density of states in states/eV per atom: 1.173